The following is a DFT calculation (PBE-GGA) of crystalline Ti3VP2 at its relaxed geometry.

Results
* SG: Ibam, No. 72
* energy: -7.960 eV per atom
* energy relative to the elements: -67 kJ/mol of atoms

extended XYZ file:
```
12
Lattice="-2.827 5.414 3.139 2.827 -5.414 3.139 2.827 5.414 -3.139" Properties=species:S:1:pos:R:3 pbc="T T T"
Ti 2.827 -2.118 1.570
Ti 0.000 0.000 1.570
Ti 2.827 2.118 1.570
Ti 0.000 3.296 1.570
Ti 0.000 0.000 4.709
Ti 0.000 7.532 1.570
V 2.827 0.000 0.000
V 0.000 5.414 0.000
P 0.994 1.603 0.000
P 0.994 -1.603 3.139
P 1.833 7.017 0.000
P 1.833 3.811 3.139
```